YTlAu3, relaxed, DFT GGA-PBE; energy of formation = 0.289 eV/atom; excess energy over the best structure of this formula in the dataset = 131 meV per atom; spin magnetization = 0.00 μB/f.u.; N(E_F) = 2.93 states/eV per cell; density = 10.5 g/cm³
1.0
5.183 0.000 0.000
0.000 5.183 0.000
0.000 0.000 5.183
Y Tl Au
1 1 3
Direct
0.500 0.500 0.500 Y
0.000 0.000 0.000 Tl
0.500 0.000 0.000 Au
0.000 0.000 0.500 Au
0.000 0.500 0.000 Au


YTlAu, relaxed, DFT GGA-PBE; energy of formation = -0.374 eV/atom; spin magnetization = 0.00 μB/f.u.; N(E_F) = 1.81 states/eV per cell; density = 9.9 g/cm³
1.0
-1.907 0.946 -3.361
-1.999 -1.627 3.031
-1.138 5.465 2.183
Tl Au Y
1 1 1
Direct
0.667 0.333 0.307 Tl
0.000 0.000 0.993 Au
0.333 0.667 0.701 Y


Y11Tl9Au4, relaxed, DFT GGA-PBE; energy of formation = -0.537 eV/atom; spin magnetization = 0.00 μB/f.u.; N(E_F) = 16.09 states/eV per cell; density = 9.5 g/cm³
1.0
3.769 0.000 0.000
0.000 12.394 -5.255
0.000 0.038 13.462
Tl Y Au
9 11 4
Direct
0.500 0.632 0.147 Tl
0.500 0.147 0.632 Tl
0.500 0.500 0.500 Tl
0.500 0.788 0.938 Tl
0.500 0.368 0.853 Tl
0.500 0.938 0.788 Tl
0.500 0.062 0.212 Tl
0.500 0.853 0.368 Tl
0.500 0.212 0.062 Tl
0.000 0.163 0.837 Y
0.000 0.368 0.632 Y
0.000 0.699 0.699 Y
0.000 0.632 0.368 Y
0.000 0.074 0.414 Y
0.000 0.000 0.000 Y
0.000 0.926 0.586 Y
0.000 0.586 0.926 Y
0.000 0.837 0.163 Y
0.000 0.301 0.301 Y
0.000 0.414 0.074 Y
0.500 0.251 0.450 Au
0.500 0.550 0.749 Au
0.500 0.450 0.251 Au
0.500 0.749 0.550 Au


Y4Tl5Au2, relaxed, DFT GGA-PBE; energy of formation = -0.467 eV/atom; spin magnetization = 0.00 μB/f.u.; N(E_F) = 6.65 states/eV per cell; density = 10.1 g/cm³
1.0
3.676 0.000 0.000
0.000 8.074 -0.489
0.000 0.123 9.809
Tl Y Au
5 4 2
Direct
0.000 0.500 0.000 Tl
0.000 0.858 0.870 Tl
0.000 0.538 0.336 Tl
0.000 0.462 0.664 Tl
0.000 0.142 0.130 Tl
0.500 0.207 0.855 Y
0.500 0.793 0.145 Y
0.500 0.781 0.581 Y
0.500 0.219 0.419 Y
0.000 0.919 0.367 Au
0.000 0.081 0.633 Au


Y2TlAu, relaxed, DFT GGA-PBE; energy of formation = -0.401 eV/atom; spin magnetization = 0.00 μB/f.u.; N(E_F) = 3.84 states/eV per cell; density = 8.6 g/cm³
1.0
-2.553 -1.063 2.599
3.526 -1.430 2.879
0.224 5.639 2.527
Y Tl Au
2 1 1
Direct
0.500 0.500 0.333 Y
0.000 0.000 0.927 Y
0.500 0.500 0.827 Tl
0.000 0.000 0.413 Au


YTlAu, relaxed, DFT GGA-PBE; energy of formation = -0.464 eV/atom; spin magnetization = 0.00 μB/f.u.; N(E_F) = 1.88 states/eV per cell; density = 11.0 g/cm³
1.0
-1.418 0.672 5.984
-0.366 -2.769 5.520
3.096 0.709 1.754
Au Tl Y
1 1 1
Direct
0.008 0.008 0.992 Au
0.343 0.343 0.657 Tl
0.649 0.649 0.351 Y


Y3TlAu2, relaxed, DFT GGA-PBE; energy of formation = -0.702 eV/atom; spin magnetization = 0.00 μB/f.u.; N(E_F) = 3.37 states/eV per cell; density = 9.6 g/cm³
1.0
3.616 0.000 0.000
0.000 3.616 0.000
0.000 0.000 11.400
Y Au Tl
3 2 1
Direct
0.000 0.000 0.685 Y
0.000 0.000 0.315 Y
0.000 0.000 0.000 Y
0.500 0.500 0.838 Au
0.500 0.500 0.162 Au
0.500 0.500 0.500 Tl


Y2TlAu, relaxed, DFT GGA-PBE; energy of formation = -0.483 eV/atom; spin magnetization = 0.00 μB/f.u.; N(E_F) = 4.97 states/eV per cell; density = 8.5 g/cm³
1.0
-0.750 -7.263 5.020
-2.145 -8.453 1.569
1.711 -8.409 2.208
Tl Y Au
1 2 1
Direct
0.750 0.750 0.750 Tl
0.990 0.990 0.990 Y
0.510 0.510 0.510 Y
0.250 0.250 0.250 Au


YTlAu, relaxed, DFT GGA-PBE; energy of formation = -0.604 eV/atom; spin magnetization = 0.00 μB/f.u.; N(E_F) = 1.93 states/eV per cell; density = 11.3 g/cm³
1.0
-5.003 -0.442 0.976
3.309 -3.321 2.049
0.657 3.792 5.086
Y Au Tl
2 2 2
Direct
0.333 0.167 0.250 Y
0.667 0.833 0.750 Y
0.333 0.167 0.750 Au
0.667 0.833 0.250 Au
0.000 0.500 0.500 Tl
0.000 0.500 0.000 Tl


Y3TlAu, relaxed, DFT GGA-PBE; energy of formation = -0.127 eV/atom; excess energy over the best structure of this formula in the dataset = 0 meV per atom; spin magnetization = 0.00 μB/f.u.; N(E_F) = 9.92 states/eV per cell; density = 6.6 g/cm³
1.0
5.520 0.000 0.000
0.000 5.520 0.000
0.000 0.000 5.520
Y Au Tl
3 1 1
Direct
0.000 0.500 0.000 Y
0.500 0.000 0.000 Y
0.000 0.000 0.500 Y
0.000 0.000 0.000 Au
0.500 0.500 0.500 Tl


Y5Tl4Au, relaxed, DFT GGA-PBE; energy of formation = -0.486 eV/atom; spin magnetization = 0.02 μB/f.u.; N(E_F) = 5.17 states/eV per cell; density = 9.1 g/cm³
1.0
-3.089 1.847 -0.444
-1.865 -2.788 1.379
2.018 7.849 18.605
Y Tl Au
5 4 1
Direct
0.500 0.500 0.087 Y
0.500 0.500 0.913 Y
0.500 0.500 0.500 Y
0.500 0.500 0.294 Y
0.500 0.500 0.706 Y
0.000 0.000 0.191 Tl
0.000 0.000 0.603 Tl
0.000 0.000 0.809 Tl
0.000 0.000 0.397 Tl
0.000 0.000 0.000 Au


Y2TlAu, relaxed, DFT GGA-PBE; energy of formation = -0.244 eV/atom; spin magnetization = 0.73 μB/f.u.; N(E_F) = 2.87 states/eV per cell; density = 8.4 g/cm³
1.0
9.687 -0.003 -0.002
8.964 3.673 -0.002
8.964 1.764 3.221
Y Tl Au
2 1 1
Direct
0.236 0.236 0.236 Y
0.005 0.005 0.005 Y
0.760 0.760 0.760 Tl
0.500 0.500 0.500 Au